[1]
## Cr2CoW (PBE)

Data for a relaxed structure of Cr2CoW.

Properties
Formation energy = 0.17 eV/atom
DOS at the Fermi energy = 3.61 states/eV/f.u.
Space group = Cmmm
Energy relative to the lowest polymorph listed for this composition = 0.15 eV per formula unit
M_tot = 0.00 μB/cell

Unit cell a=2.572 b=2.572 c=7.857 alpha=90.00 beta=90.00 gamma=103.52
Positions (direct):
1 Cr 0.000 0.000 0.225
2 Cr 0.000 0.000 0.775
3 Co 0.500 0.500 0.000
4 W 0.500 0.500 0.500



[2]
## Cr3CoW (PBE)

Data for a relaxed structure of Cr3CoW.

Properties
Formation energy = 1.90 eV/atom
DOS at the Fermi energy = 9.44 states/eV/f.u.
Space group = Pm-3m
Energy relative to the lowest polymorph listed for this composition = 3.07 eV per formula unit
M_tot = 10.12 μB/cell

Unit cell a=4.624 b=4.624 c=4.624 alpha=90.00 beta=90.00 gamma=90.00
Positions (direct):
1 Cr 0.000 0.000 0.500
2 Cr 0.000 0.500 0.000
3 Cr 0.500 0.000 0.000
4 Co 0.500 0.500 0.500
5 W 0.000 0.000 0.000



[3]
## CrCo2W (PBE)

Data for a relaxed structure of CrCo2W.

Properties
Formation energy = 0.13 eV/atom
DOS at the Fermi energy = 4.38 states/eV/f.u.
Space group = Pmm2
Energy relative to the lowest polymorph listed for this composition = 0.42 eV per formula unit
M_tot = 0.00 μB/cell

Unit cell a=2.675 b=3.393 c=5.380 alpha=90.00 beta=90.00 gamma=90.00
Positions (direct):
1 Cr 0.000 0.000 0.000
2 Co 0.000 0.000 0.553
3 Co 0.500 0.500 0.803
4 W 0.500 0.500 0.301



[4]
## CrCo2W (PBE)

Data for a relaxed structure of CrCo2W.

Properties
Formation energy = 0.13 eV/atom
DOS at the Fermi energy = 4.77 states/eV/f.u.
Space group = Cm
Energy relative to the lowest polymorph listed for this composition = 0.41 eV per formula unit
M_tot = 0.00 μB/cell

Unit cell a=4.409 b=4.409 c=4.517 alpha=99.58 beta=99.58 gamma=34.46
Positions (direct):
1 Cr 0.000 0.000 0.000
2 Co 0.486 0.486 0.454
3 Co 0.741 0.741 0.185
4 W 0.239 0.239 0.683



Which value of DOS at the Fermi energy does entry 3 give? 4.38 states/eV/f.u.



The highest formation energy belongs to which entry? Cr3CoW



What is the formation energy in the second record? 1.90 eV/atom